This record from the Alexandria database describes an optimized crystal structure of KPaAg2Se4. The functional is PBE-GGA.

Calculated values
size of the total moment	0.0	μB/f.u.
uncorrected energy	-4.519	eV/atom
uncorrected formation energy	-0.739	eV per atom

Unit cell a=7.0117 b=7.7845 c=8.5844 alpha=90.00 beta=90.00 gamma=90.00
Space group I222 (No. 23)
Unique sites:
K1 0.0000 0.0000 0.0000 [2 per cell]
Pa1 0.0000 0.0000 0.5000 [2 per cell]
Ag1 0.0000 0.5000 0.1684 [4 per cell]
Se1 0.2135 0.2073 0.3192 [8 per cell]

---

This record from the Alexandria database describes an optimized crystal structure of KCa2Mg. The functional is PBE-GGA.

Calculated values
size of the total moment	0.0	μB/f.u.
uncorrected energy	-1.488	eV/atom
energy relative to the elements	0.185	eV/atom

Unit cell a=4.2313 b=6.1650 c=6.2779 alpha=90.00 beta=90.00 gamma=90.00
Space group Pmmm (No. 47)
Unique sites:
K1 0.0000 0.0000 0.0000 [1 per cell]
Ca1 0.0000 0.5000 0.5000 [1 per cell]
Ca2 0.5000 0.5000 0.0000 [1 per cell]
Mg1 0.5000 0.0000 0.5000 [1 per cell]